Below is a geometry-optimized CsPuF4 structure, with properties calculated at the PBE level.

a b c (Å): 6.443 6.433 7.185
angles (deg): 116.51 116.56 90.16
Last column: magnetic moment on the atom in μB.
Positions (direct):
Cs 0.375 0.625 0.250  0.00
Cs 0.625 0.375 0.750  0.00
Pu 0.125 0.875 0.750  4.99
Pu 0.875 0.125 0.250  4.99
F 0.998 0.190 0.000  -0.01
F 0.501 0.810 0.000  -0.01
F 0.190 0.499 0.501  -0.01
F 0.810 0.501 0.499  -0.01
F 0.189 0.999 0.499  -0.01
F 0.499 0.190 0.000  -0.01
F 0.811 0.001 0.501  -0.01
F 0.002 0.810 0.000  -0.01

Summary:
As for the density of states at the Fermi level: 10.2 states/eV/f.u. As for the symmetry: C2/c, No. 15. The value obtained for the energy relative to the elements, uncorrected is -3.293 eV per atom.


Below is a geometry-optimized Cs2RbPuF5 structure, with properties calculated at the PBE level.

a b c (Å): 4.775 7.083 8.383
angles (deg): 114.99 106.54 90.00
Last column: magnetic moment on the atom in μB.
Positions (direct):
Cs 0.224 0.224 0.449  0.01
Cs 0.776 0.776 0.551  0.01
Rb 0.000 0.500 0.000  0.00
Pu 0.500 0.000 0.000  5.41
F 0.619 0.891 0.239  -0.01
F 0.381 0.109 0.761  -0.01
F 0.381 0.652 0.761  -0.01
F 0.619 0.348 0.239  -0.01
F 0.000 0.000 0.000  -0.01

Summary:
As for the density of states at the Fermi level: 9.3 states/eV/f.u. As for the symmetry: Immm, No. 71. The value obtained for the energy relative to the elements, uncorrected is -2.780 eV per atom.


Below is a geometry-optimized CsRbPuF6 structure, with properties calculated at the PBE level.

a b c (Å): 7.022 7.022 10.403
angles (deg): 90.00 90.00 120.00
Last column: magnetic moment on the atom in μB.
Positions (direct):
Cs 0.000 0.000 0.000  0.00
Cs 0.000 0.000 0.500  0.00
Rb 0.333 0.667 0.250  0.00
Rb 0.667 0.333 0.750  0.00
Pu 0.667 0.333 0.250  4.12
Pu 0.333 0.667 0.750  4.12
F 0.662 0.590 0.138  -0.03
F 0.928 0.338 0.138  -0.03
F 0.338 0.928 0.638  -0.03
F 0.072 0.662 0.862  -0.03
F 0.410 0.338 0.362  -0.03
F 0.928 0.590 0.362  -0.03
F 0.590 0.928 0.862  -0.03
F 0.662 0.072 0.362  -0.03
F 0.072 0.410 0.638  -0.03
F 0.410 0.072 0.138  -0.03
F 0.590 0.662 0.638  -0.03
F 0.338 0.410 0.862  -0.03

Summary:
As for the symmetry: P-31c, No. 163. The value obtained for the energy relative to the elements, uncorrected is -3.246 eV per atom.


Below is a geometry-optimized CsRb2PuF6 structure, with properties calculated at the PBE level.

a b c (Å): 6.873 7.179 9.754
angles (deg): 90.00 88.18 90.00
Last column: magnetic moment on the atom in μB.
Positions (direct):
Cs 0.500 0.000 0.000  0.00
Cs 0.000 0.500 0.500  0.00
Rb 0.011 0.961 0.270  0.00
Rb 0.511 0.539 0.770  0.00
Rb 0.989 0.039 0.730  0.00
Rb 0.489 0.461 0.230  0.00
Pu 0.500 0.000 0.500  4.99
Pu 0.000 0.500 0.000  4.99
F 0.286 0.656 0.031  -0.01
F 0.786 0.844 0.531  -0.01
F 0.714 0.344 0.969  -0.01
F 0.214 0.156 0.469  -0.01
F 0.338 0.751 0.402  -0.01
F 0.838 0.749 0.902  -0.01
F 0.662 0.249 0.598  -0.01
F 0.162 0.251 0.098  -0.01
F 0.878 0.595 0.210  -0.01
F 0.378 0.905 0.710  -0.01
F 0.122 0.405 0.790  -0.01
F 0.622 0.095 0.290  -0.01

Summary:
As for the density of states at the Fermi level: 5.6 states/eV/f.u. As for the symmetry: P2_1/c, No. 14. The value obtained for the energy relative to the elements, uncorrected is -3.100 eV per atom.


Q: Number 4 is which compound?
A: CsRb2PuF6